The following is a DFT calculation (GGA+U) of a geometry-optimized NbFeSiF2 structure.

Space-group type ... P4/mmm, No. 123
Electronic total energy ... -27.34 eV/f.u.
Size of the total moment ... 2.49 μB/f.u.

a = 3.9954 Å, b = 5.4596 Å, c = 3.9954 Å
α = 90.00°, β = 90.00°, γ = 90.00°
Each line ends with the local moment (μB).
Fractional positions:
Nb1 0.0000 0.0000 0.0000  -0.50
Si1 0.5000 0.5000 0.5000  -0.12
Fe1 0.0000 0.5000 0.0000  3.47
F1 0.0000 0.0000 0.5000  -0.01
F2 0.5000 0.0000 0.0000  -0.03